# 1
The following is a DFT calculation (PBE) of Th8Te3PIr3 after structural relaxation.

abc: 8.486 8.486 8.857
angles: 118.62 90.01 120.01
Positions (direct):
1 Th 0.266 0.532 0.298
2 Th 0.734 0.468 0.702
3 Th 0.760 0.519 0.291
4 Th 0.240 0.481 0.709
5 Th 0.760 0.032 0.291
6 Th 0.240 0.968 0.709
7 Th 0.272 0.032 0.291
8 Th 0.728 0.968 0.709
9 Te 0.000 0.000 0.000
10 Te 0.000 0.500 0.000
11 Te 0.500 0.500 0.000
12 P 0.000 0.000 0.500
13 Ir 0.500 0.000 0.500
14 Ir 0.500 0.500 0.500
15 Ir 0.000 0.500 0.500



# 2
The following is a DFT calculation (PBE) of NdDySi2 after structural relaxation.

abc: 4.649 4.649 5.885
angles: 66.74 66.74 60.00
Positions (direct):
1 Si 0.258 0.258 0.225
2 Si 0.742 0.742 0.775
3 Nd 0.500 0.500 0.500
4 Dy 0.000 0.000 0.000

Properties
excess energy over the best structure of this formula in the dataset = 0.301 eV per atom



# 3
The following is a DFT calculation (PBE) of YIr2Cl after structural relaxation.

abc: 5.518 3.705 3.705
angles: 90.00 90.00 90.00
Positions (direct):
1 Cl 0.500 0.000 0.500
2 Ir 0.000 0.000 0.000
3 Ir 0.000 0.500 0.500
4 Y 0.500 0.500 0.000

Properties
excess energy over the best structure of this formula in the dataset = 0.292 eV per atom



# 4
The following is a DFT calculation (PBE) of TeAuSe after structural relaxation.

abc: 8.686 5.297 7.645
angles: 90.00 90.00 82.39
Positions (direct):
1 Au 0.638 0.782 0.470
2 Au 0.138 0.782 0.030
3 Au 0.862 0.218 0.970
4 Au 0.362 0.218 0.530
5 Se 0.975 0.471 0.227
6 Se 0.475 0.471 0.273
7 Se 0.525 0.529 0.727
8 Se 0.025 0.529 0.773
9 Te 0.875 0.951 0.662
10 Te 0.375 0.951 0.838
11 Te 0.625 0.049 0.162
12 Te 0.125 0.049 0.338

Properties
excess energy over the best structure of this formula in the dataset = 0.108 eV per atom



# 5
The following is a DFT calculation (PBE) of YMgSe4 after structural relaxation.

abc: 5.834 5.834 5.834
angles: 60.00 60.00 60.00
Positions (direct):
1 Y 0.750 0.750 0.750
2 Mg 0.000 0.000 0.000
3 Se 0.876 0.375 0.375
4 Se 0.375 0.375 0.876
5 Se 0.375 0.876 0.375
6 Se 0.375 0.375 0.375



# 6
The following is a DFT calculation (PBE) of PuSnAuN after structural relaxation.

abc: 3.209 3.209 7.972
angles: 101.61 101.61 90.00
Positions (direct):
1 Pu 0.605 0.605 0.211
2 Sn 0.304 0.304 0.607
3 Au 0.951 0.951 0.901
4 N 0.152 0.152 0.305



# 7
The following is a DFT calculation (PBE) of SrLa2SnIr after structural relaxation.

abc: 5.624 5.624 5.373
angles: 90.00 90.00 90.00
Positions (direct):
1 Sr 0.500 0.500 0.500
2 Ir 0.000 0.000 0.000
3 Sn 0.000 0.000 0.500
4 La 0.000 0.500 0.000
5 La 0.500 0.000 0.000

Properties
excess energy over the best structure of this formula in the dataset = 0.100 eV per atom
E_form = -1.98 eV/f.u.



# 8
The following is a DFT calculation (PBE) of ZnAgI2 after structural relaxation.

abc: 5.386 5.386 5.386
angles: 60.00 60.00 60.00
Positions (direct):
1 I 0.250 0.250 0.250
2 I 0.750 0.750 0.750
3 Zn 0.000 0.000 0.000
4 Ag 0.500 0.500 0.500

Properties
excess energy over the best structure of this formula in the dataset = 0.246 eV per atom



# 9
The following is a DFT calculation (PBE) of LiZn4Sn4O8 after structural relaxation.

abc: 3.347 10.644 8.226
angles: 74.00 78.29 80.97
Positions (direct):
1 Li 0.755 0.077 0.907
2 Zn 0.121 0.008 0.244
3 Zn 0.956 0.900 0.681
4 Zn 0.547 0.282 0.120
5 Zn 0.336 0.802 0.020
6 Sn 0.626 0.712 0.529
7 Sn 0.857 0.519 0.263
8 Sn 0.147 0.409 0.793
9 Sn 0.387 0.202 0.518
10 O 0.883 0.087 0.641
11 O 0.843 0.707 0.102
12 O 0.015 0.393 0.072
13 O 0.102 0.846 0.442
14 O 0.472 0.802 0.747
15 O 0.246 0.991 0.012
16 O 0.542 0.114 0.298
17 O 0.675 0.278 0.867

Properties
excess energy over the best structure of this formula in the dataset = 0.000 eV per atom



# 10
The following is a DFT calculation (PBE) of K2RhPb after structural relaxation.

abc: 3.514 5.513 5.757
angles: 90.00 90.00 90.00
Positions (direct):
1 K 0.000 0.000 0.991
2 K 0.000 0.000 0.509
3 Pb 0.500 0.500 0.250
4 Rh 0.500 0.500 0.750

Properties
E_form = 1.61 eV/f.u.



# 11
The following is a DFT calculation (PBE) of PmBiAs2 after structural relaxation.

abc: 3.975 3.975 6.364
angles: 90.00 90.00 90.00
Positions (direct):
1 As 0.000 0.000 0.784
2 As 0.000 0.000 0.216
3 Bi 0.500 0.500 0.500
4 Pm 0.500 0.500 0.000

Properties
excess energy over the best structure of this formula in the dataset = 0.060 eV per atom
E_form = -1.97 eV/f.u.



# 12
The following is a DFT calculation (PBE) of TaTcBr4 after structural relaxation.

abc: 6.009 6.009 6.009
angles: 60.00 60.00 60.00
Positions (direct):
1 Ta 0.750 0.750 0.750
2 Tc 0.000 0.000 0.000
3 Br 0.876 0.375 0.375
4 Br 0.375 0.375 0.876
5 Br 0.375 0.876 0.375
6 Br 0.375 0.375 0.375



# 13
The following is a DFT calculation (PBE) of SrHg2Cl after structural relaxation.

abc: 5.556 5.556 5.556
angles: 60.00 60.00 60.00
Positions (direct):
1 Sr 0.500 0.500 0.500
2 Hg 0.250 0.250 0.250
3 Hg 0.750 0.750 0.750
4 Cl 0.000 0.000 0.000

Properties
excess energy over the best structure of this formula in the dataset = 0.309 eV per atom



# 14
The following is a DFT calculation (PBE) of Ce2P2Ir5 after structural relaxation.

abc: 4.110 4.110 8.914
angles: 90.00 90.00 90.00
Positions (direct):
1 Ce 0.000 0.000 0.000
2 Ce 0.000 0.000 0.500
3 P 0.500 0.500 0.130
4 P 0.500 0.500 0.870
5 Ir 0.500 0.000 0.263
6 Ir 0.500 0.000 0.737
7 Ir 0.000 0.500 0.263
8 Ir 0.000 0.500 0.737
9 Ir 0.500 0.500 0.500

Properties
E_form = -7.70 eV/f.u.



# 15
The following is a DFT calculation (PBE) of Pa2CuH after structural relaxation.

abc: 3.208 3.208 7.937
angles: 78.34 78.34 60.00
Positions (direct):
1 H 0.000 0.000 0.000
2 Pa 0.734 0.734 0.797
3 Pa 0.266 0.266 0.203
4 Cu 0.500 0.500 0.500

Properties
excess energy over the best structure of this formula in the dataset = 0.000 eV per atom



# 16
The following is a DFT calculation (PBE) of KMgHgCl6 after structural relaxation.

abc: 6.718 6.718 6.929
angles: 90.12 89.88 59.65
Positions (direct):
1 K 0.000 0.000 0.000
2 Mg 0.665 0.665 0.500
3 Hg 0.333 0.333 0.500
4 Cl 0.985 0.386 0.283
5 Cl 0.386 0.985 0.717
6 Cl 0.631 0.384 0.715
7 Cl 0.986 0.630 0.714
8 Cl 0.384 0.631 0.285
9 Cl 0.629 0.986 0.286



# 17
The following is a DFT calculation (PBE) of CsMoPb3 after structural relaxation.

abc: 6.073 6.073 6.073
angles: 90.00 90.00 90.00
Positions (direct):
1 Pb 0.000 0.500 0.000
2 Pb 0.000 0.000 0.500
3 Pb 0.500 0.000 0.000
4 Cs 0.000 0.000 0.000
5 Mo 0.500 0.500 0.500

Properties
excess energy over the best structure of this formula in the dataset = 2.164 eV per atom
E_form = 12.04 eV/f.u.



# 18
The following is a DFT calculation (PBE) of InSbTe2P after structural relaxation.

abc: 5.447 5.447 5.108
angles: 90.00 90.00 90.00
Positions (direct):
1 Sb 0.000 0.000 0.500
2 Te 0.000 0.500 0.000
3 Te 0.500 0.000 0.000
4 P 0.000 0.000 0.000
5 In 0.500 0.500 0.500

Properties
excess energy over the best structure of this formula in the dataset = 0.000 eV per atom



# 19
The following is a DFT calculation (PBE) of Er6ScIn2 after structural relaxation.

abc: 3.535 7.459 10.431
angles: 78.67 80.24 76.29
Positions (direct):
1 Er 0.758 0.368 0.116
2 Er 0.242 0.632 0.884
3 Er 0.360 0.732 0.548
4 Er 0.033 0.664 0.269
5 Er 0.967 0.336 0.731
6 Er 0.640 0.268 0.452
7 Sc 0.000 0.000 0.000
8 In 0.353 0.028 0.265
9 In 0.647 0.972 0.735

Properties
excess energy over the best structure of this formula in the dataset = 0.127 eV per atom
E_form = -0.69 eV/f.u.



# 20
The following is a DFT calculation (PBE) of Nd2MnSi3Ir4 after structural relaxation.

abc: 4.145 4.145 10.225
angles: 90.00 90.00 90.00
Positions (direct):
1 Nd 0.500 0.000 0.250
2 Nd 0.000 0.500 0.750
3 Mn 0.500 0.500 0.500
4 Si 0.000 0.000 0.500
5 Si 0.500 0.000 0.874
6 Si 0.000 0.500 0.126
7 Ir 0.500 0.500 0.000
8 Ir 0.000 0.000 0.000
9 Ir 0.500 0.000 0.636
10 Ir 0.000 0.500 0.364



Number 1: raw total energy -7.70 eV per atom, theoretical density 10.27 Mg/m³. Number 2: raw total energy -5.53 eV per atom, theoretical density 6.15 Mg/m³. Number 3: raw total energy -6.77 eV per atom, theoretical density 11.15 Mg/m³. Number 4: raw total energy -3.22 eV per atom, theoretical density 7.69 Mg/m³. Number 5: raw total energy -3.73 eV per atom, theoretical density 5.07 Mg/m³. Number 6: raw total energy -7.91 eV per atom, theoretical density 12.11 Mg/m³. Number 7: raw total energy -5.28 eV per atom, theoretical density 6.61 Mg/m³. Number 8: raw total energy -1.63 eV per atom, theoretical density 6.42 Mg/m³. Number 9: raw total energy -4.96 eV per atom, theoretical density 5.28 Mg/m³. Number 10: raw total energy -2.91 eV per atom, theoretical density 5.78 Mg/m³. Number 11: raw total energy -4.98 eV per atom, theoretical density 8.32 Mg/m³. Number 12: raw total energy -3.12 eV per atom, theoretical density 6.48 Mg/m³. Number 13: raw total energy -1.66 eV per atom, theoretical density 7.18 Mg/m³. Number 14: raw total energy -8.30 eV per atom, theoretical density 14.37 Mg/m³. Number 15: raw total energy -6.60 eV per atom, theoretical density 12.71 Mg/m³. Number 16: raw total energy -2.74 eV per atom, theoretical density 2.93 Mg/m³. Number 17: raw total energy -2.15 eV per atom, theoretical density 6.30 Mg/m³. Number 18: raw total energy -3.37 eV per atom, theoretical density 5.73 Mg/m³. Number 19: raw total energy -4.43 eV per atom, theoretical density 8.17 Mg/m³. Number 20: raw total energy -7.93 eV per atom, theoretical density 11.31 Mg/m³.